First-principles (GGA-PBE) data for a relaxed structure of Pm5Ge2O2, as listed in Alexandria via LeMat-Bulk.

Calculated values
E: -6.3135 eV per atom
uncorrected formation energy: -1.546 eV per atom

Cell lengths 4.9910, 6.9631, 6.9731 Å; angles 107.49, 90.00, 111.00 degrees
Closest atoms and distances in Å follow each position.
Atoms (fractional coordinates):
Pm1 0.8431 0.6862 0.4499  1 O 2.32
Ge1 0.5955 0.1910 0.2951  7 Pm 3.02-3.22
O1 0.8393 0.6786 0.1149  5 Pm 2.32-2.50
O2 0.1607 0.3214 0.8851  5 Pm 2.32-2.50
Pm2 0.1569 0.3138 0.5501  1 O 2.32
Pm3 0.6560 0.3119 0.9018  3 O 2.37-2.50
Pm4 0.0000 0.0000 0.0000  2 O 2.47
Ge2 0.4045 0.8090 0.7049  7 Pm 3.02-3.22
Pm5 0.3440 0.6881 0.0982  3 O 2.37-2.50

First-principles (GGA-PBE) data for a relaxed structure of Pm2GeO5, as listed in Alexandria via LeMat-Bulk.

Calculated values
E: -7.4689 eV per atom
uncorrected formation energy: -2.605 eV per atom
polymorph energy (0 for the lowest one): 253.5 meV per atom

Cell lengths 5.8448, 5.8449, 6.7259 Å; angles 123.22, 123.22, 90.76 degrees
Closest atoms and distances in Å follow each position.
Atoms (fractional coordinates):
O1 0.7943 0.2642 0.0482  1 Ge 1.97
O2 0.0075 0.0075 0.2887  1 Ge 1.84
O3 0.1923 0.1923 0.9727  1 Ge 1.83
O4 0.6493 0.6493 0.6071  1 Ge 1.78
Pm1 0.6726 0.2134 0.2978  5 O 2.29-2.38
Pm2 0.2134 0.6726 0.2978  5 O 2.29-2.38
Ge1 0.9833 0.9833 0.9934  5 O 1.78-1.97
O5 0.2642 0.7943 0.0482  1 Ge 1.97

Please write out number 2 again, unchanged.
First-principles (GGA-PBE) data for a relaxed structure of Pm2GeO5, as listed in Alexandria via LeMat-Bulk.

Calculated values
E: -7.4689 eV per atom
uncorrected formation energy: -2.605 eV per atom
polymorph energy (0 for the lowest one): 253.5 meV per atom

Cell lengths 5.8448, 5.8449, 6.7259 Å; angles 123.22, 123.22, 90.76 degrees
Closest atoms and distances in Å follow each position.
Atoms (fractional coordinates):
O1 0.7943 0.2642 0.0482  1 Ge 1.97
O2 0.0075 0.0075 0.2887  1 Ge 1.84
O3 0.1923 0.1923 0.9727  1 Ge 1.83
O4 0.6493 0.6493 0.6071  1 Ge 1.78
Pm1 0.6726 0.2134 0.2978  5 O 2.29-2.38
Pm2 0.2134 0.6726 0.2978  5 O 2.29-2.38
Ge1 0.9833 0.9833 0.9934  5 O 1.78-1.97
O5 0.2642 0.7943 0.0482  1 Ge 1.97

What is the uncorrected formation energy in the first record?
-1.546 eV per atom